Ho3RhPb | Alexandria via LeMat-Bulk | PBE | optimized geometry; total DFT energy (no corrections) = -5.508 eV per atom; size of the total moment = 0.000 Bohr magnetons per cell; N(E_F) = 7.32 states/eV/cell; symmetry = P2_1/m; energy of formation = -549 meV/atom
1.0
5.6672 0.3773 0.0000
-2.1182 6.9104 0.0000
0.0000 0.0000 6.7207
Ho Rh Pb
6 2 2
Cartesian
4.2456 1.7051 6.6571 Ho
-0.6966 5.5826 3.2968 Ho
4.2456 1.7051 3.4239 Ho
2.3167 4.4551 5.0405 Ho
-0.6966 5.5826 0.0636 Ho
1.2323 2.8326 1.6802 Ho
4.0118 3.7346 1.6802 Rh
-0.4627 3.5532 5.0405 Rh
2.1059 5.9420 1.6802 Pb
1.4432 1.3457 5.0405 Pb

YHfSbTe2 | Alexandria via LeMat-Bulk | PBE | optimized geometry; total DFT energy (no corrections) = -5.599 eV per atom; size of the total moment = 0.000 Bohr magnetons per cell; relative energy among the computed polymorphs = 0.0 meV per atom; N(E_F) = 2.18 states/eV/cell; symmetry = P4/mmm
1.0
-0.2835 5.3053 -1.3097
-4.1619 0.6402 3.4943
3.6158 1.2021 4.0865
Hf Y Te Sb
1 1 2 1
Cartesian
0.0000 0.0000 0.0000 Hf
-0.4148 3.5737 3.1355 Y
-0.1418 2.6526 -0.6548 Te
-2.0810 0.3201 1.7471 Te
1.8079 0.6010 2.0432 Sb

> Which of these has the lowest N(E_F)?

YHfSbTe2

> Among the records above, which one has the lowest total DFT energy (no corrections)?

YHfSbTe2

> What is the formula in the second record?

YHfSbTe2

> Which formula does entry 1 have?

Ho3RhPb